No. 1
A relaxed HoEr2Th crystal. Source: the Alexandria database, functional PBE.

```
4
Lattice="1.771 1.022 11.482 -1.771 1.022 11.482 0.000 -2.044 11.482" Properties=species:S:1:pos:R:3 pbc="T T T"
Ho 0.000 0.000 0.000
Er 0.000 0.000 14.322
Er 0.000 0.000 20.117
Th 0.000 0.000 5.709
```

Values from the calculation:
For the energy above the most stable polymorph in this dataset, the calculation gives 4.10 kJ/mol of atoms. The formation enthalpy at 0 K is 34 meV per atom. The total moment comes out at 0.0 μB/f.u. As for the space group: R3m (160). As for the electronic total energy: -20.988 eV per cell.



No. 2
A relaxed Ho4ErTh crystal. Source: the Alexandria database, functional PBE.

```
6
Lattice="5.761 -5.879 0.000 5.761 5.879 0.000 0.000 0.000 3.393" Properties=species:S:1:pos:R:3 pbc="T T T"
Ho 5.761 3.166 0.000
Ho 3.008 0.000 1.696
Ho 8.513 0.000 1.696
Ho 5.761 -3.166 0.000
Er 0.000 0.000 1.696
Th 5.761 0.000 0.000
```

Values from the calculation:
For the energy above the most stable polymorph in this dataset, the calculation gives 69.95 kJ/mol of atoms. The formation enthalpy at 0 K is 753 meV per atom. The total moment comes out at 0.0 μB/f.u. As for the space group: Cmmm (65). As for the electronic total energy: -25.777 eV per cell.



No. 3
A relaxed Ho7Er12Th crystal. Source: the Alexandria database, functional PBE.

```
20
Lattice="6.050 3.493 5.058 -6.050 3.493 5.058 0.000 -6.985 5.058" Properties=species:S:1:pos:R:3 pbc="T T T"
Ho 0.000 0.000 0.000
Ho -2.012 -0.413 4.636
Ho 1.363 -1.536 4.636
Ho 0.649 1.949 4.636
Ho -0.649 -1.949 10.538
Ho -1.363 1.536 10.538
Ho 2.012 0.413 10.538
Er -0.707 -4.089 3.876
Er -3.188 2.657 3.876
Er -3.278 -1.036 8.148
Er -0.742 -3.356 7.026
Er -3.895 -1.432 11.297
Er -2.536 2.321 7.026
Er 2.536 -2.321 8.148
Er 3.895 1.432 3.876
Er 0.742 3.356 8.148
Er 3.278 1.036 7.026
Er 3.188 -2.657 11.298
Er 0.707 4.089 11.298
Th 0.000 0.000 7.587
```

Values from the calculation:
For the energy above the most stable polymorph in this dataset, the calculation gives 0.00 kJ/mol of atoms. The formation enthalpy at 0 K is 242 meV per atom. The total moment comes out at 0.0 μB/f.u. As for the space group: R-3 (148). As for the electronic total energy: -89.385 eV per cell.